(1)
# Cu2ClF2 GGA-PBE relaxed
data_Cu2ClF2
_symmetry_space_group_name_H-M 'I 41 m d'
_symmetry_Int_Tables_number 109
_symmetry_space_group_name_Hall 'I 4bw -2'
_cell_length_a 5.821
_cell_length_b 5.821
_cell_length_c 9.632
_cell_angle_alpha 90.00
_cell_angle_beta 90.00
_cell_angle_gamma 90.00
loop_
_atom_site_label
_atom_site_fract_x
_atom_site_fract_y
_atom_site_fract_z
Cu1 0.000 0.284 0.000
Cl1 0.000 0.000 0.564
F1 0.000 0.272 0.199
# Formation energy without anion corrections   -95.8 kJ/mol of atoms
# Raw total energy   -0.13779 hartree per atom

=====

(2)
# BeCr2Cu GGA-PBE relaxed
data_BeCr2Cu
_symmetry_space_group_name_H-M 'I -4 2 d'
_symmetry_Int_Tables_number 122
_symmetry_space_group_name_Hall 'I -4 2bw'
_cell_length_a 3.245
_cell_length_b 3.245
_cell_length_c 17.769
_cell_angle_alpha 90.00
_cell_angle_beta 90.00
_cell_angle_gamma 90.00
loop_
_atom_site_label
_atom_site_fract_x
_atom_site_fract_y
_atom_site_fract_z
Be1 0.000 0.000 0.000
Cr1 0.235 0.250 0.125
Cu1 0.000 0.000 0.500
# Raw total energy   -0.22669 hartree per atom
# Energy of formation from the pure elements   0.5988 eV/atom

=====

(3)
# RuPb2O5 GGA-PBE relaxed
data_RuPb2O5
_symmetry_space_group_name_H-M 'C 1 2/c 1'
_symmetry_Int_Tables_number 15
_symmetry_space_group_name_Hall '-C 2yc'
_cell_length_a 12.785
_cell_length_b 5.690
_cell_length_c 7.460
_cell_angle_alpha 90.00
_cell_angle_beta 123.37
_cell_angle_gamma 90.00
loop_
_atom_site_label
_atom_site_fract_x
_atom_site_fract_y
_atom_site_fract_z
Ru1 0.000 0.000 0.000
Pb1 0.157 0.493 0.000
O1 0.000 0.140 0.250
O2 0.053 0.304 0.634
O3 0.172 0.104 0.128
# Formation energy without anion corrections   -94.1 kJ/mol of atoms
# Raw total energy   -0.22640 hartree per atom

=====

Number 1: density 4.08 Mg/m³. Number 2: density 6.27 Mg/m³. Number 3: density 8.73 Mg/m³.